[1]
First-principles (PBE) data for a relaxed structure of KBeP3, as listed in the Alexandria database.

Geometry as CIF:
```
data_KBeP3
_symmetry_space_group_name_H-M 'P 1'
_symmetry_Int_Tables_number 1
_symmetry_space_group_name_Hall 'P 1'
_cell_length_a 5.2389
_cell_length_b 5.2389
_cell_length_c 5.2389
_cell_angle_alpha 90.00
_cell_angle_beta 90.00
_cell_angle_gamma 90.00
loop_
_atom_site_label
_atom_site_type_symbol
_atom_site_fract_x
_atom_site_fract_y
_atom_site_fract_z
_atom_site_occupancy
K1 K 0.0000 0.0000 0.0000 1
P1 P 0.0000 0.5000 0.0000 1
P2 P 0.0000 0.0000 0.5000 1
P3 P 0.5000 0.0000 0.0000 1
Be1 Be 0.5000 0.5000 0.5000 1
```

Values from the calculation:
energy above the most stable polymorph in this dataset	1969	meV per atom
crystal system	cubic
E_form	2.4244	eV/atom



[2]
First-principles (PBE) data for a relaxed structure of K4BeP, as listed in the Alexandria database.

Geometry as CIF:
```
data_K4BeP
_symmetry_space_group_name_H-M 'P 1'
_symmetry_Int_Tables_number 1
_symmetry_space_group_name_Hall 'P 1'
_cell_length_a 6.7854
_cell_length_b 6.7854
_cell_length_c 6.7854
_cell_angle_alpha 60.00
_cell_angle_beta 60.00
_cell_angle_gamma 60.00
loop_
_atom_site_label
_atom_site_type_symbol
_atom_site_fract_x
_atom_site_fract_y
_atom_site_fract_z
_atom_site_occupancy
K1 K 0.3764 0.3764 0.3764 1
K2 K 0.3764 0.8708 0.3764 1
K3 K 0.3764 0.3764 0.8708 1
K4 K 0.8708 0.3764 0.3764 1
Be1 Be 0.0000 0.0000 0.0000 1
P1 P 0.7500 0.7500 0.7500 1
```

Values from the calculation:
crystal system	cubic
E_form	0.8082	eV/atom



[3]
First-principles (PBE) data for a relaxed structure of KBe4P, as listed in the Alexandria database.

Geometry as CIF:
```
data_KBe4P
_symmetry_space_group_name_H-M 'P 1'
_symmetry_Int_Tables_number 1
_symmetry_space_group_name_Hall 'P 1'
_cell_length_a 4.8914
_cell_length_b 4.8914
_cell_length_c 4.8914
_cell_angle_alpha 60.00
_cell_angle_beta 60.00
_cell_angle_gamma 60.00
loop_
_atom_site_label
_atom_site_type_symbol
_atom_site_fract_x
_atom_site_fract_y
_atom_site_fract_z
_atom_site_occupancy
Be1 Be 0.8802 0.3733 0.3733 1
Be2 Be 0.3733 0.8802 0.3733 1
Be3 Be 0.3733 0.3733 0.3733 1
Be4 Be 0.3733 0.3733 0.8802 1
P1 P 0.0000 0.0000 0.0000 1
K1 K 0.7500 0.7500 0.7500 1
```

Values from the calculation:
crystal system	cubic
E_form	0.8653	eV/atom



[4]
First-principles (PBE) data for a relaxed structure of K2RbBeP2, as listed in the Alexandria database.

Geometry as CIF:
```
data_K2RbBeP2
_symmetry_space_group_name_H-M 'P 1'
_symmetry_Int_Tables_number 1
_symmetry_space_group_name_Hall 'P 1'
_cell_length_a 7.2349
_cell_length_b 7.8865
_cell_length_c 8.6833
_cell_angle_alpha 117.01
_cell_angle_beta 114.62
_cell_angle_gamma 90.00
loop_
_atom_site_label
_atom_site_type_symbol
_atom_site_fract_x
_atom_site_fract_y
_atom_site_fract_z
_atom_site_occupancy
K1 K 0.3064 0.1292 0.6128 1
K2 K 0.6936 0.8708 0.3872 1
K3 K 0.8064 0.4836 0.6128 1
K4 K 0.1936 0.5164 0.3872 1
Be1 Be 0.7500 0.5000 0.0000 1
Be2 Be 0.2500 0.5000 0.0000 1
P1 P 0.0490 0.6799 0.0981 1
P2 P 0.4510 0.5818 0.9019 1
P3 P 0.5490 0.4182 0.0981 1
P4 P 0.9510 0.3201 0.9019 1
Rb1 Rb 0.7500 0.0000 0.0000 1
Rb2 Rb 0.2500 0.0000 0.0000 1
```

Values from the calculation:
crystal system	orthorhombic
E_form	-0.2026	eV/atom



[5]
First-principles (PBE) data for a relaxed structure of KRb2BeP, as listed in the Alexandria database.

Geometry as CIF:
```
data_KRb2BeP
_symmetry_space_group_name_H-M 'P 1'
_symmetry_Int_Tables_number 1
_symmetry_space_group_name_Hall 'P 1'
_cell_length_a 6.5523
_cell_length_b 5.3149
_cell_length_c 6.5523
_cell_angle_alpha 90.00
_cell_angle_beta 90.00
_cell_angle_gamma 90.00
loop_
_atom_site_label
_atom_site_type_symbol
_atom_site_fract_x
_atom_site_fract_y
_atom_site_fract_z
_atom_site_occupancy
Be1 Be 0.0000 0.5000 0.0000 1
K1 K 0.0000 0.0000 0.0000 1
P1 P 0.5000 0.5000 0.5000 1
Rb1 Rb 0.5000 0.0000 0.0000 1
Rb2 Rb 0.0000 0.0000 0.5000 1
```

Values from the calculation:
crystal system	tetragonal
E_form	1.1570	eV/atom



[6]
First-principles (PBE) data for a relaxed structure of KRb2BeP2, as listed in the Alexandria database.

Geometry as CIF:
```
data_KRb2BeP2
_symmetry_space_group_name_H-M 'P 1'
_symmetry_Int_Tables_number 1
_symmetry_space_group_name_Hall 'P 1'
_cell_length_a 7.2671
_cell_length_b 7.1909
_cell_length_c 10.7332
_cell_angle_alpha 109.57
_cell_angle_beta 109.79
_cell_angle_gamma 90.00
loop_
_atom_site_label
_atom_site_type_symbol
_atom_site_fract_x
_atom_site_fract_y
_atom_site_fract_z
_atom_site_occupancy
P1 P 0.6735 0.0347 0.0693 1
P2 P 0.6041 0.4653 0.9307 1
P3 P 0.3265 0.9653 0.9307 1
P4 P 0.3959 0.5347 0.0693 1
Rb1 Rb 0.4667 0.1529 0.3059 1
Rb2 Rb 0.1609 0.3471 0.6941 1
Rb3 Rb 0.8391 0.6529 0.3059 1
Rb4 Rb 0.5333 0.8471 0.6941 1
Be1 Be 0.5000 0.2500 0.0000 1
Be2 Be 0.5000 0.7500 0.0000 1
K1 K 0.0000 0.7500 0.0000 1
K2 K 0.0000 0.2500 0.0000 1
```

Values from the calculation:
crystal system	orthorhombic
E_form	-0.2101	eV/atom



no.,E (Ry/atom)
1,-0.131
2,-0.106
3,-0.199
4,-0.232
5,-0.094
6,-0.231